Computed, not measured: a geometry-optimized Ba3PaCu2S6 structure at the PBE-GGA level of DFT.

a = 7.3112 Å, b = 7.3112 Å, c = 7.9508 Å
α = 90.00°, β = 90.00°, γ = 120.00°
Last column: nearest neighbours and their distance in Å.
Space group P-3m1 (No. 164)
Asymmetric unit:
Ba  0.0000  0.0000  0.0000  6 S 3.18
Ba  0.3333  0.6667  0.6275  1 Cu 3.27, 3 S 3.36
Pa  0.0000  0.0000  0.5000  6 S 2.65
Cu  0.3333  0.6667  0.2159  3 S 2.21
S  0.1666  0.3333  0.2992  1 Cu 2.21

Computed properties:
Uncorrected formation energy ... -1364.4 meV per atom
V ... 30.671 A^3/atom